Ti2TcW after structural relaxation. Source: Alexandria via LeMat-Bulk, functional PBE-GGA.

Cell: 3.1201 3.1201 6.3548 Å, 90.00 90.00 90.00°
Last column: nearest neighbours and their distance in Å.
Space group P4/mmm (No. 123)
Symmetry-distinct sites (fractional):
Ti: 0.0000 0.0000 0.2405 x2  4 Tc 2.68, 4 W 2.75
Tc: 0.5000 0.5000 0.0000 x1  8 Ti 2.68
W: 0.5000 0.5000 0.5000 x1  8 Ti 2.75

## Properties
Electronic total energy = -39.955 eV per formula unit
Total magnetic moment = 0.00 μB/f.u.
V = 15.5 A^3/atom